First-principles (PBE) data for a geometry-optimized Al3InCu structure, as listed in Alexandria.

size of the total moment = 0.00 μB per cell
V = 102 Å³ per cell
formation enthalpy at 0 K = 22.3 kJ per mole of atoms
uncorrected energy = -0.1243 hartree per atom

Cell: 4.675 4.675 4.675 Å, 90.00 90.00 90.00°
Fractional coordinates of all 5 atoms:
Al (0.000, 0.000, 0.500)
Al (0.000, 0.500, 0.000)
Al (0.500, 0.000, 0.000)
In (0.500, 0.500, 0.500)
Cu (0.000, 0.000, 0.000)



First-principles (PBE) data for a geometry-optimized Al2InCu structure, as listed in Alexandria.

size of the total moment = 0.00 μB per cell
V = 70 Å³ per cell
formation enthalpy at 0 K = 14.3 kJ per mole of atoms
uncorrected energy = -0.1261 hartree per atom

Cell: 4.043 4.043 4.294 Å, 90.00 90.00 90.00°
Fractional coordinates of all 4 atoms:
Al (0.000, 0.500, 0.000)
Al (0.500, 0.000, 0.000)
In (0.000, 0.000, 0.500)
Cu (0.500, 0.500, 0.500)



First-principles (PBE) data for a geometry-optimized Al2InCu structure, as listed in Alexandria.

size of the total moment = 0.00 μB per cell
V = 73 Å³ per cell
formation enthalpy at 0 K = 18.9 kJ per mole of atoms
uncorrected energy = -0.1243 hartree per atom

Cell: 5.394 5.394 5.394 Å, 144.74 125.70 66.42°
Fractional coordinates of all 4 atoms:
Al (0.000, 0.000, 0.000)
Al (0.743, 0.243, 0.500)
In (0.463, 0.463, 0.000)
Cu (0.213, 0.713, 0.500)



First-principles (PBE) data for a geometry-optimized Al2InCu structure, as listed in Alexandria.

size of the total moment = 0.00 μB per cell
V = 73 Å³ per cell
formation enthalpy at 0 K = 7.4 kJ per mole of atoms
uncorrected energy = -0.1288 hartree per atom

Cell: 4.564 4.564 5.493 Å, 102.31 102.31 40.73°
Fractional coordinates of all 4 atoms:
Al (0.000, 0.000, 0.000)
Al (0.246, 0.246, 0.763)
In (0.481, 0.481, 0.459)
Cu (0.736, 0.736, 0.149)



First-principles (PBE) data for a geometry-optimized AlIn2Cu structure, as listed in Alexandria.

size of the total moment = 0.00 μB per cell
V = 81 Å³ per cell
formation enthalpy at 0 K = 20.0 kJ per mole of atoms
uncorrected energy = -0.1147 hartree per atom

Cell: 4.494 4.494 4.004 Å, 90.00 90.00 90.00°
Fractional coordinates of all 4 atoms:
Al (0.000, 0.000, 0.000)
In (0.000, 0.500, 0.500)
In (0.500, 0.000, 0.500)
Cu (0.500, 0.500, 0.000)



First-principles (PBE) data for a geometry-optimized Al2InCu structure, as listed in Alexandria.

size of the total moment = 0.00 μB per cell
V = 71 Å³ per cell
formation enthalpy at 0 K = 7.2 kJ per mole of atoms
uncorrected energy = -0.1288 hartree per atom

Cell: 8.942 8.942 8.942 Å, 19.71 19.71 19.71°
Fractional coordinates of all 4 atoms:
Al (0.000, 0.000, 0.000)
Al (0.249, 0.249, 0.249)
In (0.487, 0.487, 0.487)
Cu (0.736, 0.736, 0.736)



First-principles (PBE) data for a geometry-optimized AlIn2Cu structure, as listed in Alexandria.

size of the total moment = 0.00 μB per cell
V = 84 Å³ per cell
formation enthalpy at 0 K = 9.6 kJ per mole of atoms
uncorrected energy = -0.1187 hartree per atom

Cell: 4.565 4.565 5.988 Å, 102.08 102.08 43.43°
Fractional coordinates of all 4 atoms:
Al (0.000, 0.000, 0.000)
In (0.538, 0.538, 0.611)
In (0.763, 0.763, 0.284)
Cu (0.274, 0.274, 0.889)



First-principles (PBE) data for a geometry-optimized Al4InCu15 structure, as listed in Alexandria.

size of the total moment = 0.00 μB per cell
V = 258 Å³ per cell
formation enthalpy at 0 K = -13.5 kJ per mole of atoms
uncorrected energy = -0.1506 hartree per atom

Cell: 3.712 3.712 18.709 Å, 90.00 90.00 90.00°
Fractional coordinates of all 20 atoms:
Al (0.000, 0.000, 0.098)
Al (0.000, 0.000, 0.294)
Al (0.000, 0.000, 0.706)
Al (0.000, 0.000, 0.902)
In (0.000, 0.000, 0.500)
Cu (0.000, 0.500, 0.000)
Cu (0.000, 0.500, 0.196)
Cu (0.000, 0.500, 0.391)
Cu (0.000, 0.500, 0.609)
Cu (0.000, 0.500, 0.804)
Cu (0.500, 0.000, 0.000)
Cu (0.500, 0.000, 0.196)
Cu (0.500, 0.000, 0.391)
Cu (0.500, 0.000, 0.609)
Cu (0.500, 0.000, 0.804)
Cu (0.500, 0.500, 0.098)
Cu (0.500, 0.500, 0.293)
Cu (0.500, 0.500, 0.500)
Cu (0.500, 0.500, 0.707)
Cu (0.500, 0.500, 0.902)



First-principles (PBE) data for a geometry-optimized AlInCu structure, as listed in Alexandria.

size of the total moment = 0.00 μB per cell
V = 57 Å³ per cell
formation enthalpy at 0 K = 12.8 kJ per mole of atoms
uncorrected energy = -0.1247 hartree per atom

Cell: 4.217 4.217 3.689 Å, 90.00 90.00 120.00°
Fractional coordinates of all 3 atoms:
Al (0.000, 0.000, 0.000)
In (0.333, 0.667, 0.500)
Cu (0.667, 0.333, 0.000)



First-principles (PBE) data for a geometry-optimized AlInCu2 structure, as listed in Alexandria.

size of the total moment = 0.00 μB per cell
V = 63 Å³ per cell
formation enthalpy at 0 K = 5.8 kJ per mole of atoms
uncorrected energy = -0.1326 hartree per atom

Cell: 4.715 4.715 2.904 Å, 90.00 90.00 103.22°
Fractional coordinates of all 4 atoms:
Al (0.000, 0.000, 0.000)
In (0.500, 0.500, 0.000)
Cu (0.000, 0.500, 0.500)
Cu (0.500, 0.000, 0.500)



First-principles (PBE) data for a geometry-optimized Al2InCu structure, as listed in Alexandria.

size of the total moment = 0.00 μB per cell
V = 73 Å³ per cell
formation enthalpy at 0 K = 15.9 kJ per mole of atoms
uncorrected energy = -0.1255 hartree per atom

Cell: 5.876 5.876 2.999 Å, 103.37 103.37 125.66°
Fractional coordinates of all 4 atoms:
Al (0.000, 0.500, 0.000)
Al (0.500, 0.000, 0.000)
In (0.000, 0.000, 0.000)
Cu (0.500, 0.500, 0.000)



First-principles (PBE) data for a geometry-optimized Al2InCu structure, as listed in Alexandria.

size of the total moment = 0.00 μB per cell
V = 72 Å³ per cell
formation enthalpy at 0 K = 6.6 kJ per mole of atoms
uncorrected energy = -0.1290 hartree per atom

Cell: 4.494 4.494 5.543 Å, 102.18 102.18 41.46°
Fractional coordinates of all 4 atoms:
Al (0.236, 0.236, 0.197)
Al (0.764, 0.764, 0.803)
In (0.000, 0.000, 0.500)
Cu (0.500, 0.500, 0.000)



First-principles (PBE) data for a geometry-optimized Al2InCu structure, as listed in Alexandria.

size of the total moment = 0.00 μB per cell
V = 70 Å³ per cell
formation enthalpy at 0 K = 12.2 kJ per mole of atoms
uncorrected energy = -0.1269 hartree per atom

Cell: 5.084 5.084 5.084 Å, 132.62 132.62 69.25°
Fractional coordinates of all 4 atoms:
Al (0.250, 0.750, 0.500)
Al (0.750, 0.250, 0.500)
In (0.000, 0.000, 0.000)
Cu (0.500, 0.500, 0.000)



First-principles (PBE) data for a geometry-optimized Al2InCu structure, as listed in Alexandria.

size of the total moment = 0.00 μB per cell
V = 70 Å³ per cell
formation enthalpy at 0 K = 5.3 kJ per mole of atoms
uncorrected energy = -0.1296 hartree per atom

Cell: 2.952 2.952 8.001 Å, 90.00 90.00 90.00°
Fractional coordinates of all 4 atoms:
Al (0.000, 0.000, 0.000)
Al (0.500, 0.500, 0.258)
In (0.500, 0.500, 0.700)
Cu (0.000, 0.000, 0.449)



First-principles (PBE) data for a geometry-optimized AlIn2Cu structure, as listed in Alexandria.

size of the total moment = 0.00 μB per cell
V = 174 Å³ per cell
formation enthalpy at 0 K = 23.8 kJ per mole of atoms
uncorrected energy = -0.1133 hartree per atom

Cell: 9.575 9.575 9.575 Å, 153.50 153.50 37.82°
Fractional coordinates of all 8 atoms:
Al (0.000, 0.000, 0.000)
Al (0.750, 0.250, 0.500)
In (0.142, 0.625, 0.017)
In (0.375, 0.392, 0.517)
In (0.608, 0.125, 0.983)
In (0.875, 0.858, 0.483)
Cu (0.250, 0.750, 0.500)
Cu (0.500, 0.500, 0.000)



First-principles (PBE) data for a geometry-optimized AlIn2Cu structure, as listed in Alexandria.

size of the total moment = 0.00 μB per cell
V = 79 Å³ per cell
formation enthalpy at 0 K = 19.2 kJ per mole of atoms
uncorrected energy = -0.1150 hartree per atom

Cell: 5.307 5.307 5.307 Å, 132.65 132.65 69.21°
Fractional coordinates of all 4 atoms:
Al (0.000, 0.000, 0.000)
In (0.500, 0.500, 0.000)
In (0.750, 0.250, 0.500)
Cu (0.250, 0.750, 0.500)



First-principles (PBE) data for a geometry-optimized AlInCu structure, as listed in Alexandria.

size of the total moment = 0.00 μB per cell
V = 57 Å³ per cell
formation enthalpy at 0 K = -1.8 kJ per mole of atoms
uncorrected energy = -0.1303 hartree per atom

Cell: 4.312 4.312 4.312 Å, 60.00 60.00 60.00°
Fractional coordinates of all 3 atoms:
Al (0.000, 0.000, 0.000)
In (0.500, 0.500, 0.500)
Cu (0.250, 0.250, 0.250)



First-principles (PBE) data for a geometry-optimized AlInCu3 structure, as listed in Alexandria.

size of the total moment = 0.00 μB per cell
V = 113 Å³ per cell
formation enthalpy at 0 K = 87.2 kJ per mole of atoms
uncorrected energy = -0.1047 hartree per atom

Cell: 4.839 4.839 4.839 Å, 90.00 90.00 90.00°
Fractional coordinates of all 5 atoms:
Al (0.000, 0.000, 0.000)
In (0.500, 0.500, 0.500)
Cu (0.000, 0.500, 0.500)
Cu (0.500, 0.000, 0.500)
Cu (0.500, 0.500, 0.000)



First-principles (PBE) data for a geometry-optimized Al2InCu structure, as listed in Alexandria.

size of the total moment = 0.00 μB per cell
V = 158 Å³ per cell
formation enthalpy at 0 K = 17.1 kJ per mole of atoms
uncorrected energy = -0.1250 hartree per atom

Cell: 9.138 9.138 9.138 Å, 152.94 152.94 38.65°
Fractional coordinates of all 8 atoms:
Al (0.068, 0.625, 0.943)
Al (0.375, 0.318, 0.443)
Al (0.682, 0.125, 0.057)
Al (0.875, 0.932, 0.557)
In (0.250, 0.750, 0.500)
In (0.500, 0.500, 0.000)
Cu (0.000, 0.000, 0.000)
Cu (0.750, 0.250, 0.500)



First-principles (PBE) data for a geometry-optimized AlInCu2 structure, as listed in Alexandria.

size of the total moment = 0.00 μB per cell
V = 63 Å³ per cell
formation enthalpy at 0 K = 7.1 kJ per mole of atoms
uncorrected energy = -0.1321 hartree per atom

Cell: 4.936 4.936 4.936 Å, 133.20 133.20 68.34°
Fractional coordinates of all 4 atoms:
Al (0.000, 0.000, 0.000)
In (0.750, 0.250, 0.500)
Cu (0.250, 0.750, 0.500)
Cu (0.500, 0.500, 0.000)



First-principles (PBE) data for a geometry-optimized AlIn2Cu structure, as listed in Alexandria.

size of the total moment = 0.00 μB per cell
V = 83 Å³ per cell
formation enthalpy at 0 K = 29.5 kJ per mole of atoms
uncorrected energy = -0.1111 hartree per atom

Cell: 4.895 4.895 4.895 Å, 60.00 60.00 60.00°
Fractional coordinates of all 4 atoms:
Al (0.000, 0.000, 0.000)
In (0.500, 0.500, 0.500)
In (0.750, 0.750, 0.750)
Cu (0.250, 0.250, 0.250)



First-principles (PBE) data for a geometry-optimized AlInCu2 structure, as listed in Alexandria.

size of the total moment = 0.00 μB per cell
V = 64 Å³ per cell
formation enthalpy at 0 K = 19.1 kJ per mole of atoms
uncorrected energy = -0.1275 hartree per atom

Cell: 4.491 4.491 4.491 Å, 60.00 60.00 60.00°
Fractional coordinates of all 4 atoms:
Al (0.000, 0.000, 0.000)
In (0.250, 0.250, 0.250)
Cu (0.500, 0.500, 0.500)
Cu (0.750, 0.750, 0.750)



First-principles (PBE) data for a geometry-optimized AlInCu2 structure, as listed in Alexandria.

size of the total moment = 0.00 μB per cell
V = 64 Å³ per cell
formation enthalpy at 0 K = 0.1 kJ per mole of atoms
uncorrected energy = -0.1348 hartree per atom

Cell: 3.063 4.191 5.083 Å, 90.00 102.39 90.00°
Fractional coordinates of all 4 atoms:
Al (0.000, 0.000, 0.000)
In (0.216, 0.500, 0.617)
Cu (0.532, 0.500, 0.143)
Cu (0.675, 0.000, 0.433)



First-principles (PBE) data for a geometry-optimized AlInCu6 structure, as listed in Alexandria.

size of the total moment = 0.00 μB per cell
V = 110 Å³ per cell
formation enthalpy at 0 K = -1.7 kJ per mole of atoms
uncorrected energy = -0.1433 hartree per atom

Cell: 4.789 4.789 4.789 Å, 90.00 90.00 90.00°
Fractional coordinates of all 8 atoms:
Al (0.000, 0.000, 0.000)
In (0.500, 0.500, 0.500)
Cu (0.000, 0.500, 0.245)
Cu (0.000, 0.500, 0.755)
Cu (0.245, 0.000, 0.500)
Cu (0.500, 0.245, 0.000)
Cu (0.500, 0.755, 0.000)
Cu (0.755, 0.000, 0.500)



First-principles (PBE) data for a geometry-optimized AlIn2Cu structure, as listed in Alexandria.

size of the total moment = 0.00 μB per cell
V = 79 Å³ per cell
formation enthalpy at 0 K = 14.5 kJ per mole of atoms
uncorrected energy = -0.1168 hartree per atom

Cell: 3.093 3.093 8.296 Å, 90.00 90.00 90.00°
Fractional coordinates of all 4 atoms:
Al (0.000, 0.000, 0.000)
In (0.500, 0.500, 0.279)
In (0.500, 0.500, 0.721)
Cu (0.000, 0.000, 0.500)



First-principles (PBE) data for a geometry-optimized AlIn2Cu structure, as listed in Alexandria.

size of the total moment = 0.00 μB per cell
V = 80 Å³ per cell
formation enthalpy at 0 K = 18.1 kJ per mole of atoms
uncorrected energy = -0.1154 hartree per atom

Cell: 3.022 4.029 6.594 Å, 90.00 93.94 90.00°
Fractional coordinates of all 4 atoms:
Al (0.000, 0.000, 0.000)
In (0.498, 0.500, 0.734)
In (0.502, 0.500, 0.266)
Cu (0.000, 0.000, 0.500)



First-principles (PBE) data for a geometry-optimized AlIn2Cu structure, as listed in Alexandria.

size of the total moment = 0.00 μB per cell
V = 79 Å³ per cell
formation enthalpy at 0 K = 19.3 kJ per mole of atoms
uncorrected energy = -0.1150 hartree per atom

Cell: 5.233 5.233 5.233 Å, 131.17 131.17 71.54°
Fractional coordinates of all 4 atoms:
Al (0.000, 0.000, 0.000)
In (0.250, 0.750, 0.500)
In (0.750, 0.250, 0.500)
Cu (0.500, 0.500, 0.000)



First-principles (PBE) data for a geometry-optimized Al6InCu6 structure, as listed in Alexandria.

size of the total moment = 0.00 μB per cell
V = 192 Å³ per cell
formation enthalpy at 0 K = -12.2 kJ per mole of atoms
uncorrected energy = -0.1453 hartree per atom

Cell: 6.625 6.625 6.625 Å, 134.09 99.53 97.97°
Fractional coordinates of all 13 atoms:
Al (0.154, 0.500, 0.654)
Al (0.155, 0.155, 0.000)
Al (0.306, 0.806, 0.500)
Al (0.694, 0.194, 0.500)
Al (0.845, 0.845, 0.000)
Al (0.846, 0.500, 0.346)
In (0.500, 0.500, 0.000)
Cu (0.000, 0.000, 0.500)
Cu (0.000, 0.500, 0.000)
Cu (0.257, 0.000, 0.257)
Cu (0.500, 0.000, 0.000)
Cu (0.500, 0.500, 0.500)
Cu (0.743, 0.000, 0.743)